Entry 1:
# AlCoPt2 (GGA-PBE, optimized geometry)
data_AlCoPt2
_space_group_name_H-M_alt 'C 1 2/m 1'
_space_group_IT_number 12
_space_group_name_Hall '-C 2y'
_cell_length_a 8.612
_cell_length_b 2.815
_cell_length_c 4.790
_cell_angle_alpha 90.00
_cell_angle_beta 101.74
_cell_angle_gamma 90.00
loop_
_atom_site_label
_atom_site_type_symbol
_atom_site_fract_x
_atom_site_fract_y
_atom_site_fract_z
Al1 Al 0.000 0.000 0.000
Co1 Co 0.000 0.500 0.500
Pt1 Pt 0.245 0.500 0.253
# **Formation enthalpy at 0 K**: -427 meV per atom

Entry 2:
# KAuBr2 (GGA-PBE, optimized geometry)
data_KAuBr2
_space_group_name_H-M_alt 'P 1 2/m 1'
_space_group_IT_number 10
_space_group_name_Hall '-P 2y'
_cell_length_a 4.284
_cell_length_b 4.072
_cell_length_c 7.426
_cell_angle_alpha 90.00
_cell_angle_beta 94.49
_cell_angle_gamma 90.00
loop_
_atom_site_label
_atom_site_type_symbol
_atom_site_fract_x
_atom_site_fract_y
_atom_site_fract_z
K1 K 0.000 0.000 0.000
Au1 Au 0.500 0.000 0.500
Br1 Br 0.470 0.500 0.748
# **Raw formation energy**: -0.7477 eV per atom

Entry 3:
# Ce2ScPa (GGA-PBE, optimized geometry)
data_Ce2ScPa
_space_group_name_H-M_alt 'R 3 m'
_space_group_IT_number 160
_space_group_name_Hall 'R 3 -2"'
_cell_length_a 3.2524
_cell_length_b 3.2524
_cell_length_c 33.6229
_cell_angle_alpha 90.00
_cell_angle_beta 90.00
_cell_angle_gamma 120.00
loop_
_atom_site_label
_atom_site_type_symbol
_atom_site_fract_x
_atom_site_fract_y
_atom_site_fract_z
Ce1 Ce 0.0000 0.0000 0.0000
Ce2 Ce 0.0000 0.0000 0.1668
Sc1 Sc 0.0000 0.0000 0.5828
Pa1 Pa 0.0000 0.0000 0.7504
# **Formation enthalpy at 0 K**: 82 meV per atom

Entry 4:
# Pm2PrNdEr4 (GGA-PBE, optimized geometry)
data_Pm2PrNdEr4
_space_group_name_H-M_alt 'C 1 2/c 1'
_space_group_IT_number 15
_space_group_name_Hall '-C 2yc'
_cell_length_a 13.709
_cell_length_b 13.249
_cell_length_c 6.805
_cell_angle_alpha 90.00
_cell_angle_beta 119.76
_cell_angle_gamma 90.00
loop_
_atom_site_label
_atom_site_type_symbol
_atom_site_fract_x
_atom_site_fract_y
_atom_site_fract_z
Pm1 Pm 0.000 0.000 0.000
Pm2 Pm 0.250 0.250 0.000
Pr1 Pr 0.250 0.250 0.500
Nd1 Nd 0.000 0.500 0.000
Er1 Er 0.001 0.249 0.001
Er2 Er 0.249 0.000 0.000
# **Formation enthalpy at 0 K**: 409 meV per atom

Entry 5:
# Mg3MnPd4 (GGA-PBE, optimized geometry)
data_Mg3MnPd4
_space_group_name_H-M_alt 'P 4/m m m'
_space_group_IT_number 123
_space_group_name_Hall '-P 4 2'
_cell_length_a 4.425
_cell_length_b 4.425
_cell_length_c 6.463
_cell_angle_alpha 90.00
_cell_angle_beta 90.00
_cell_angle_gamma 90.00
loop_
_atom_site_label
_atom_site_type_symbol
_atom_site_fract_x
_atom_site_fract_y
_atom_site_fract_z
Mg1 Mg 0.000 0.000 0.000
Mg2 Mg 0.000 0.000 0.500
Mg3 Mg 0.500 0.500 0.000
Mn1 Mn 0.500 0.500 0.500
Pd1 Pd 0.000 0.500 0.254
# **Formation enthalpy at 0 K**: -601 meV per atom

Entry 6:
# ZrTlSe2 (GGA-PBE, optimized geometry)
data_ZrTlSe2
_space_group_name_H-M_alt 'C m c 21'
_space_group_IT_number 36
_space_group_name_Hall 'C 2c -2'
_cell_length_a 8.455
_cell_length_b 6.831
_cell_length_c 6.599
_cell_angle_alpha 90.00
_cell_angle_beta 90.00
_cell_angle_gamma 90.00
loop_
_atom_site_label
_atom_site_type_symbol
_atom_site_fract_x
_atom_site_fract_y
_atom_site_fract_z
Zr1 Zr 0.000 0.127 0.000
Tl1 Tl 0.000 0.428 0.593
Se1 Se 0.196 0.149 0.331
# **Raw formation energy**: -0.7071 eV per atom

no.,magnetization (μB/f.u.)
1,1.7
2,0.0
3,0.0
4,0.9
5,4.5
6,0.0